Entry 1:
This record from the Alexandria database describes a crystal of LiZr4N4Cl4 relaxed with PBEsol. The functional is meta-GGA SCAN.

a b c (Å): 19.139 19.139 19.139
angles (deg): 10.88 10.88 10.88
Atoms (fractional coordinates):
Li 0.000 0.000 0.000
Zr 0.107 0.107 0.107
Zr 0.397 0.397 0.397
Zr 0.603 0.603 0.603
Zr 0.893 0.893 0.893
N 0.068 0.068 0.068
N 0.433 0.433 0.433
N 0.567 0.567 0.567
N 0.932 0.932 0.932
Cl 0.196 0.196 0.196
Cl 0.308 0.308 0.308
Cl 0.692 0.692 0.692
Cl 0.804 0.804 0.804

Output
Volume   16.70 A^3/atom
Final energy   -16.95 eV per atom
Uncorrected formation energy   -2.00 eV/atom

=====

Entry 2:
This record from the Alexandria database describes a crystal of NaLiCl3 relaxed with PBEsol. The functional is meta-GGA SCAN.

a b c (Å): 4.755 4.755 4.755
angles (deg): 90.00 90.00 90.00
Atoms (fractional coordinates):
Na 0.000 0.000 0.000
Li 0.500 0.500 0.500
Cl 0.000 0.500 0.500
Cl 0.500 0.000 0.500
Cl 0.500 0.500 0.000

Output
Volume   21.50 A^3/atom
Final energy   -7.42 eV per atom
Uncorrected formation energy   -1.31 eV/atom

=====

Entry 3:
This record from the Alexandria database describes a crystal of NaLiPCl2 relaxed with PBEsol. The functional is meta-GGA SCAN.

a b c (Å): 5.195 5.195 5.269
angles (deg): 90.00 90.00 90.00
Atoms (fractional coordinates):
Na 0.000 0.000 0.000
Li 0.500 0.500 0.500
P 0.000 0.000 0.500
Cl 0.000 0.500 0.000
Cl 0.500 0.000 0.000

Output
Volume   28.44 A^3/atom
Final energy   -7.02 eV per atom
Uncorrected formation energy   -0.43 eV/atom